# NdGa8Pt2

Crystalline NdGa8Pt2 at its relaxed geometry (PBE-GGA, Alexandria).

a b c (Å): 5.772 5.772 7.906
angles (deg): 90.00 90.00 90.00
Positions (direct):
Ga  0.756  0.756  0.207
Ga  0.244  0.756  0.793
Ga  0.244  0.244  0.207
Pt  0.500  0.000  0.000
Ga  0.756  0.756  0.793
Ga  0.244  0.244  0.793
Nd  0.500  0.500  0.500
Pt  0.000  0.500  0.000
Ga  0.244  0.756  0.207
Ga  0.756  0.244  0.793
Ga  0.756  0.244  0.207

Properties
Formation energy from the elements in eV per atom: -0.18
Density of states at the Fermi level in states/eV/atom: 0.689
Magnetic moment in μB per formula unit: 0.0
Electronic total energy in eV per cell: -43.10

***

# K2CaUO4

Crystalline K2CaUO4 at its relaxed geometry (PBE-GGA, Alexandria).

a b c (Å): 3.550 6.082 6.571
angles (deg): 107.77 90.00 90.00
Site moments in Bohr magnetons follow the coordinates.
Positions (direct):
K  0.000  0.500  0.500  0.01
Ca  0.000  0.000  0.000  0.01
O  0.000  0.719  0.192  -0.04
O  0.500  0.255  0.183  -0.04
O  0.000  0.281  0.808  -0.04
K  0.500  0.000  0.500  0.00
O  0.500  0.745  0.817  -0.04
U  0.500  0.500  0.000  1.97

Properties
Density of states at the Fermi level in states/eV/atom: 0.346
Formation energy without anion corrections in eV per atom: -2.502
Magnetic moment in μB per formula unit: 2.0
Electronic total energy in eV per cell: -55.34

***

# Ba3In8Hg3

Crystalline Ba3In8Hg3 at its relaxed geometry (PBE-GGA, Alexandria).

a b c (Å): 5.002 9.692 9.618
angles (deg): 75.42 74.93 75.05
Positions (direct):
In  0.498  0.298  0.705
Ba  0.687  0.314  0.313
In  0.661  0.965  0.713
In  0.145  0.585  0.125
In  0.502  0.702  0.295
Ba  0.000  0.000  0.000
Hg  0.337  0.289  0.036
Hg  0.663  0.711  0.964
In  0.144  0.127  0.585
Ba  0.313  0.686  0.687
In  0.856  0.873  0.415
In  0.855  0.415  0.875
In  0.339  0.035  0.287
Hg  0.000  0.500  0.500

Properties
Relative energy among the computed polymorphs in meV per atom: 0
Formation energy from the elements in eV per atom: -0.36
Density of states at the Fermi level in states/eV/atom: 0.473
Magnetic moment in μB per formula unit: 0.0
Electronic total energy in eV per cell: -33.58